The following is a DFT calculation (GGA+U) of Mn2WO5 after structural relaxation.

```
data_Mn2WO5
_space_group_name_H-M_alt 'P 1'
_space_group_IT_number 1
_space_group_name_Hall 'P 1'
_cell_length_a 6.105
_cell_length_b 6.105
_cell_length_c 7.393
_cell_angle_alpha 109.60
_cell_angle_beta 109.60
_cell_angle_gamma 51.31
loop_
_atom_site_label
_atom_site_type_symbol
_atom_site_fract_x
_atom_site_fract_y
_atom_site_fract_z
_atom_site_occupancy
Mn1 Mn 0.138 0.146 0.251 1
Mn2 Mn 0.146 0.138 0.751 1
Mn3 Mn 0.854 0.862 0.249 1
Mn4 Mn 0.862 0.854 0.749 1
W1 W 0.500 0.500 0.000 1
W2 W 0.500 0.500 0.500 1
O1 O 0.111 0.733 0.540 1
O2 O 0.186 0.473 0.863 1
O3 O 0.267 0.889 0.960 1
O4 O 0.342 0.658 0.250 1
O5 O 0.473 0.186 0.363 1
O6 O 0.527 0.814 0.637 1
O7 O 0.658 0.342 0.750 1
O8 O 0.733 0.111 0.040 1
O9 O 0.814 0.527 0.137 1
O10 O 0.889 0.267 0.460 1
```

## Properties
DOS(E_F)   0.0 states/eV/f.u.
E   -7.73 eV/atom
V   200 Å³/cell